{"formula": "NbZnCuRe", "functional": "GGA-PBE", "state": "relaxed", "relative_energy_mev_per_atom": 0.0, "ef_kj_per_mol_fu": 79, "lattice_angstrom": [[0.0000, 3.1101, 3.1101], [3.1101, 0.0000, 3.1101], [3.1101, 3.1101, 0.0000]], "species": ["Cu", "Nb", "Re", "Zn"], "frac_coords": [[0.7500, 0.7500, 0.7500], [0.5000, 0.5000, 0.5000], [0.2500, 0.2500, 0.2500], [0.0000, 0.0000, 0.0000]]}



{"formula": "HfInH", "functional": "GGA-PBE", "state": "relaxed", "energy_ev_per_cell": -17.11, "lattice_angstrom": [[3.3575, 0.0000, 0.0000], [-1.6788, 2.9077, 0.0000], [0.0000, 0.0000, 4.8677]], "species": ["H", "Hf", "In"], "frac_coords": [[0.0000, 0.0000, 0.0000], [0.3333, 0.6667, 0.0000], [0.6667, 0.3333, 0.5000]]}



{"formula": "Tm3Zr4", "functional": "GGA-PBE", "state": "relaxed", "ef_kj_per_mol_fu": 21, "lattice_angstrom": [[5.7997, 6.6970, 0.0000], [-2.8998, 8.3712, 0.0000], [0.0000, 0.0000, 5.3179]], "species": ["Tm", "Tm", "Tm", "Tm", "Tm", "Tm", "Zr", "Zr", "Zr", "Zr", "Zr", "Zr", "Zr", "Zr"], "frac_coords": [[0.1343, 0.2842, 0.0000], [0.2957, 0.5629, 0.0000], [0.8556, 0.7243, 0.0000], [0.3894, 0.0968, 0.5000], [0.6682, 0.6566, 0.5000], [0.2281, 0.8180, 0.5000], [0.9900, 0.0122, 0.0000], [0.5836, 0.1407, 0.0000], [0.7121, 0.4186, 0.0000], [0.4286, 0.8571, 0.0000], [0.9402, 0.2403, 0.5000], [0.5338, 0.3687, 0.5000], [0.0952, 0.5238, 0.5000], [0.8117, 0.9624, 0.5000]]}